Material: DyHfCSe
Method: DFT, PBE-GGA
State: optimized geometry

a = 3.565 Å, b = 3.565 Å, c = 12.971 Å
α = 90.00°, β = 90.00°, γ = 120.00°
Element x y z (fractional)
C 0.000 0.000 0.229
C 0.000 0.000 0.771
Dy 0.667 0.333 0.344
Dy 0.667 0.333 0.656
Hf 0.333 0.667 0.148
Hf 0.333 0.667 0.852
Se 0.667 0.333 0.000
Se 0.333 0.667 0.500

Values from the calculation:
Space-group type: No. 187
Total DFT energy (no corrections) in eV per atom: -7.952